Record 1
## ZrNbNO (PBE)

Data for a geometry-optimized ZrNbNO structure.

Unit cell a=6.229 b=7.773 c=4.426 alpha=90.00 beta=90.00 gamma=90.00
Atoms (fractional coordinates):
Zr  0.088  0.151  0.000
Zr  0.412  0.151  0.500
Zr  0.588  0.849  0.000
Zr  0.912  0.849  0.500
Nb  0.064  0.607  0.999
Nb  0.436  0.607  0.499
Nb  0.564  0.393  0.999
Nb  0.936  0.393  0.499
N  0.098  0.627  0.499
N  0.402  0.627  0.999
N  0.598  0.373  0.499
N  0.902  0.373  0.999
O  0.054  0.113  0.500
O  0.446  0.113  0.000
O  0.554  0.887  0.500
O  0.946  0.887  0.000

Values from the calculation:
The energy above the lowest structure with this stoichiometry comes out at 0.0000 eV/atom. Its space group is Pca2_1, No. 29.


Record 2
## ZrNbNO (PBE)

Data for a geometry-optimized ZrNbNO structure.

Unit cell a=4.545 b=4.545 c=4.493 alpha=90.00 beta=90.00 gamma=90.00
Atoms (fractional coordinates):
Zr  0.250  0.750  0.000
Zr  0.750  0.250  0.000
Nb  0.250  0.250  0.494
Nb  0.750  0.750  0.506
N  0.250  0.250  0.994
N  0.750  0.750  0.006
O  0.250  0.750  0.500
O  0.750  0.250  0.500

Values from the calculation:
The energy above the lowest structure with this stoichiometry comes out at 0.0708 eV/atom. Its space group is P4/nmm, No. 129.


Record 3
## ZrNbNO (PBE)

Data for a geometry-optimized ZrNbNO structure.

Unit cell a=3.293 b=5.917 c=5.640 alpha=90.00 beta=90.00 gamma=90.00
Atoms (fractional coordinates):
Zr  0.000  0.167  0.000
Zr  0.000  0.833  0.500
Nb  0.500  0.400  0.412
Nb  0.500  0.600  0.912
N  0.000  0.175  0.370
N  0.000  0.825  0.870
O  0.500  0.262  0.774
O  0.500  0.738  0.274

Values from the calculation:
The energy above the lowest structure with this stoichiometry comes out at 0.0395 eV/atom. Its space group is Pmc2_1, No. 26.